# TcAsCl2 (PBE, optimized geometry)
# * energy relative to the elements, uncorrected: -0.2036 eV/atom
# * ρ: 3.81 Mg/m³
data_TcAsCl2
_cell_length_a 7.431
_cell_length_b 7.431
_cell_length_c 3.143
_cell_angle_alpha 90.00
_cell_angle_beta 90.00
_cell_angle_gamma 142.30
_symmetry_space_group_name_H-M 'P 1'
_symmetry_Int_Tables_number 1
loop_
_symmetry_equiv_pos_as_xyz
'x,y,z'
loop_
_atom_site_label
_atom_site_type_symbol
_atom_site_fract_x
_atom_site_fract_y
_atom_site_fract_z
_atom_site_occupancy
Tc1 Tc 0.000 0.000 0.000 1
As1 As 0.500 0.500 0.000 1
Cl1 Cl 0.133 0.867 0.500 1
Cl2 Cl 0.867 0.133 0.500 1